Model a:
Entry from Alexandria via LeMat-Bulk: SiPt2Se after structural relaxation (GGA-PBE).

Cell: 6.5974 3.8028 5.9900 Å, 90.00 111.40 90.00°
With the nearest neighbours (Å) after each atom.
Space group C2/m (No. 12)
Unique sites:
1 Si 0.0000 0.0000 0.0000  6 Pt 2.43
2 Pt 0.2281 0.5000 0.1846  3 Si 2.43
3 Se 0.0000 0.5000 0.5000  6 Pt 2.81-2.82

Summary:
V, Å³/cell: 139.92

---

Model b:
Entry from Alexandria via LeMat-Bulk: SiPt2Se after structural relaxation (GGA-PBE).

Cell: 6.3546 6.3546 6.3546 Å, 90.00 90.00 90.00°
With the nearest neighbours (Å) after each atom.
Space group Fm-3m (No. 225)
Unique sites:
1 Si 0.0000 0.0000 0.0000  8 Pt 2.75
2 Pt 0.2500 0.2500 0.2500  4 Se 2.75, 4 Si 2.75
3 Se 0.0000 0.0000 0.5000  8 Pt 2.75

Summary:
V, Å³/cell: 256.61

---

Short version: model b is the least stable of them.

---

Model a:
Entry from Alexandria via LeMat-Bulk: SiPt2Se after structural relaxation (GGA-PBE).

Cell: 4.3729 4.3729 3.3730 Å, 90.00 90.00 90.00°
With the nearest neighbours (Å) after each atom.
Space group P4/mmm (No. 123)
Unique sites:
1 Si 0.0000 0.0000 0.0000  8 Pt 2.76, 4 Se 3.09
2 Pt 0.0000 0.5000 0.5000  4 Se 2.76, 4 Si 2.76, 4 Pt 3.09
3 Se 0.5000 0.5000 0.0000  8 Pt 2.76, 4 Si 3.09

Summary:
V, Å³/cell: 64.50

---

Model b:
Entry from Alexandria via LeMat-Bulk: SiPt2Se after structural relaxation (GGA-PBE).

Cell: 3.1086 3.5430 12.6590 Å, 90.00 90.00 90.00°
With the nearest neighbours (Å) after each atom.
Space group Imm2 (No. 44)
Unique sites:
1 Si 0.0000 0.0000 0.0000  6 Pt 2.41-2.51
2 Pt 0.0000 0.0000 0.4319  4 Si 2.51, 2 Se 2.74
3 Pt 0.0000 0.5000 0.1293  2 Si 2.41
4 Se 0.0000 0.5000 0.7538  6 Pt 2.74-2.84

Summary:
V, Å³/cell: 139.42

---

Model c:
Entry from Alexandria via LeMat-Bulk: SiPt2Se after structural relaxation (GGA-PBE).

Cell: 6.4121 6.4121 6.4121 Å, 90.00 90.00 90.00°
With the nearest neighbours (Å) after each atom.
Space group F-43m (No. 216)
Unique sites:
1 Si 0.0000 0.0000 0.0000  4 Se 2.78, 4 Pt 2.78
2 Pt 0.0000 0.0000 0.5000  4 Se 2.78, 4 Pt 2.78
3 Pt 0.2500 0.2500 0.2500  4 Pt 2.78, 4 Si 2.78
4 Se 0.2500 0.2500 0.7500  4 Pt 2.78, 4 Si 2.78

Summary:
V, Å³/cell: 263.64

---

Short version: model c is the least stable of them.

---

Model a:
Entry from Alexandria via LeMat-Bulk: SiPt2Se after structural relaxation (GGA-PBE).

Cell: 2.9800 2.9800 7.5710 Å, 90.00 90.00 90.00°
With the nearest neighbours (Å) after each atom.
Space group P4mm (No. 99)
Unique sites:
1 Si 0.0000 0.0000 0.0000  4 Pt 2.51
2 Pt 0.0000 0.0000 0.4551  4 Se 2.71, 8 Pt 2.97-2.98
3 Pt 0.5000 0.5000 0.1793  4 Si 2.51
4 Se 0.5000 0.5000 0.6808  4 Pt 2.71, 4 Se 2.98

Summary:
V, Å³/cell: 67.23

---

Model b:
Entry from Alexandria via LeMat-Bulk: SiPt2Se after structural relaxation (GGA-PBE).

Cell: 5.4987 7.2943 4.4390 Å, 90.00 127.32 90.00°
With the nearest neighbours (Å) after each atom.
Space group C2/m (No. 12)
Unique sites:
1 Si 0.0000 0.0000 0.0000  4 Pt 2.54, 2 Se 2.75
2 Pt 0.2500 0.2500 0.5000  2 Se 2.54, 2 Si 2.54, 2 Pt 2.75
3 Se 0.0000 0.5000 0.0000  4 Pt 2.54, 2 Si 2.75

Summary:
V, Å³/cell: 141.58

---

Short version: model a is the least stable of them.

---

Model a:
Entry from Alexandria via LeMat-Bulk: SiPt2Se after structural relaxation (GGA-PBE).

Cell: 3.5795 3.5969 10.5276 Å, 90.00 90.00 90.00°
With the nearest neighbours (Å) after each atom.
Space group Amm2 (No. 38)
Unique sites:
1 Si 0.0000 0.0000 0.0000  5 Pt 2.50-2.59
2 Pt 0.0000 0.0000 0.2372  1 Si 2.50, 4 Se 2.58
3 Pt 0.5000 0.0000 0.4506  1 Se 2.53, 4 Si 2.59
4 Se 0.5000 0.0000 0.6907  5 Pt 2.53-2.58

Summary:
V, Å³/cell: 135.54

---

Model b:
Entry from Alexandria via LeMat-Bulk: SiPt2Se after structural relaxation (GGA-PBE).

Cell: 2.7794 6.1872 8.5758 Å, 90.00 90.00 90.00°
With the nearest neighbours (Å) after each atom.
Space group Immm (No. 71)
Unique sites:
1 Si 0.0000 0.0000 0.0000  4 Pt 2.35
2 Pt 0.0000 0.5000 0.2797  2 Si 2.35
3 Se 0.0000 0.0000 0.5000  4 Pt 2.77, 2 Se 2.78

Summary:
V, Å³/cell: 147.48

---

Model c:
Entry from Alexandria via LeMat-Bulk: SiPt2Se after structural relaxation (GGA-PBE).

Cell: 4.6447 4.6447 14.3840 Å, 90.00 90.00 90.00°
With the nearest neighbours (Å) after each atom.
Space group I-42d (No. 122)
Unique sites:
1 Si 0.0000 0.0000 0.0000  4 Pt 2.36
2 Pt 0.2152 0.2500 0.1250  2 Si 2.36, 2 Se 2.52
3 Se 0.0000 0.0000 0.5000  4 Pt 2.52

Summary:
V, Å³/cell: 310.31

---

Model d:
Entry from Alexandria via LeMat-Bulk: SiPt2Se after structural relaxation (GGA-PBE).

Cell: 3.8334 3.8334 8.7507 Å, 90.00 90.00 90.00°
With the nearest neighbours (Å) after each atom.
Space group I-4m2 (No. 119)
Unique sites:
1 Si 0.0000 0.0000 0.0000  8 Pt 2.71-2.91, 4 Se 2.91
2 Pt 0.0000 0.0000 0.5000  4 Si 2.71, 4 Pt 2.91, 4 Se 2.91
3 Pt 0.0000 0.5000 0.7500  4 Se 2.71, 4 Pt 2.91, 4 Si 2.91
4 Se 0.0000 0.5000 0.2500  8 Pt 2.71-2.91, 4 Si 2.91

Summary:
V, Å³/cell: 128.59

---

Short version: model d is the least stable of them.

---

Model a:
Entry from Alexandria via LeMat-Bulk: SiPt2Se after structural relaxation (GGA-PBE).

Cell: 2.8425 4.3979 5.3321 Å, 90.00 90.00 90.00°
With the nearest neighbours (Å) after each atom.
Space group Pmmm (No. 47)
Unique sites:
1 Si 0.0000 0.0000 0.0000  4 Pt 2.62, 2 Si 2.84
2 Pt 0.0000 0.5000 0.5000  4 Se 2.62, 2 Pt 2.84
3 Pt 0.5000 0.5000 0.0000  4 Si 2.62, 2 Pt 2.84
4 Se 0.5000 0.0000 0.5000  4 Pt 2.62, 2 Se 2.84

Summary:
V, Å³/cell: 66.66

---

Model b:
Entry from Alexandria via LeMat-Bulk: SiPt2Se after structural relaxation (GGA-PBE).

Cell: 3.0439 3.0439 24.5091 Å, 90.00 90.00 120.00°
With the nearest neighbours (Å) after each atom.
Space group R-3m (No. 166, hexagonal axes)
Unique sites:
1 Si 0.0000 0.0000 0.0000  6 Pt 2.46
2 Pt 0.0000 0.0000 0.2631  3 Si 2.46
3 Se 0.0000 0.0000 0.5000  6 Pt 2.95, 6 Se 3.04

Summary:
V, Å³/cell: 196.67

---

Short version: model a is the least stable of them.

---

Model a:
Entry from Alexandria via LeMat-Bulk: SiPt2Se after structural relaxation (GGA-PBE).

Cell: 3.5103 3.5103 5.4718 Å, 90.00 90.00 90.00°
With the nearest neighbours (Å) after each atom.
Space group P4mm (No. 99)
Unique sites:
1 Si 0.0000 0.0000 0.0000  5 Pt 2.49-2.59
2 Pt 0.0000 0.0000 0.4544  1 Si 2.49, 4 Se 2.63
3 Pt 0.5000 0.5000 0.1330  4 Si 2.59, 2 Se 2.62-2.86
4 Se 0.5000 0.5000 0.6111  6 Pt 2.62-2.86

Summary:
V, Å³/cell: 67.42

---

Model b:
Entry from Alexandria via LeMat-Bulk: SiPt2Se after structural relaxation (GGA-PBE).

Cell: 2.8106 3.2796 7.1618 Å, 90.00 90.00 90.00°
With the nearest neighbours (Å) after each atom.
Space group Pmmm (No. 47)
Unique sites:
1 Si 0.0000 0.0000 0.0000  8 Pt 2.57, 2 Si 2.81
2 Pt 0.5000 0.5000 0.1946  4 Si 2.57, 2 Se 2.73, 3 Pt 2.79-2.81
3 Se 0.5000 0.0000 0.5000  4 Pt 2.73, 2 Se 2.81

Summary:
V, Å³/cell: 66.01

---

Short version: model a is the least stable of them.

---

Model a:
Entry from Alexandria via LeMat-Bulk: Sm2PtSe after structural relaxation (GGA-PBE).

Cell: 4.1187 4.1187 21.8604 Å, 90.00 90.00 120.00°
With the nearest neighbours (Å) after each atom.
Space group R3m (No. 160, hexagonal axes)
Unique sites:
1 Sm 0.0000 0.0000 0.0000  3 Pt 2.88, 3 Se 3.10
2 Sm 0.0000 0.0000 0.1840  3 Pt 2.88, 3 Se 3.13
3 Pt 0.0000 0.0000 0.5920  6 Sm 2.88
4 Se 0.0000 0.0000 0.4245  6 Sm 3.10-3.13

Summary:
V, Å³/cell: 321.15

---

Model b:
Entry from Alexandria via LeMat-Bulk: Sm2PtSe after structural relaxation (GGA-PBE).

Cell: 4.1092 5.9477 8.5943 Å, 90.00 90.00 90.00°
With the nearest neighbours (Å) after each atom.
Space group Pmmn (No. 59, origin choice 2)
Unique sites:
1 Sm 0.2500 0.2500 0.1210  4 Pt 2.90-2.97, 2 Se 3.10
2 Sm 0.2500 0.2500 0.6496  2 Pt 2.87, 4 Se 2.99-3.02
3 Pt 0.2500 0.7500 0.1171  6 Sm 2.87-2.97
4 Se 0.2500 0.7500 0.6083  6 Sm 2.99-3.10

Summary:
V, Å³/cell: 210.05

---

Short version: model a is the least stable of them.

---

Model a:
Entry from Alexandria via LeMat-Bulk: SnPt3Se after structural relaxation (GGA-PBE).

Cell: 4.7656 4.7656 4.7656 Å, 90.00 90.00 90.00°
With the nearest neighbours (Å) after each atom.
Space group Pm-3m (No. 221)
Unique sites:
1 Sn 0.0000 0.0000 0.0000  12 Pt 3.37
2 Pt 0.0000 0.5000 0.5000  2 Se 2.38
3 Se 0.5000 0.5000 0.5000  6 Pt 2.38

Summary:
V, Å³/cell: 108.23

---

Model b:
Entry from Alexandria via LeMat-Bulk: SnPt3Se after structural relaxation (GGA-PBE).

Cell: 4.9541 4.9541 4.9541 Å, 90.00 90.00 90.00°
With the nearest neighbours (Å) after each atom.
Space group Pm-3m (No. 221)
Unique sites:
1 Sn 0.0000 0.0000 0.0000  6 Pt 2.48
2 Pt 0.0000 0.0000 0.5000  2 Sn 2.48
3 Se 0.5000 0.5000 0.5000  12 Pt 3.50

Summary:
V, Å³/cell: 121.59

---

Short version: model b is the least stable of them.